A geometry-optimized Li2Ni8Ge3 structure. Source: Alexandria, functional PBE.

E_form ... 0.0471 eV per atom
Energy ... -63.3 eV for the cell shown

Cell lengths 9.0406, 9.0406, 9.0406 Å; angles 30.40, 30.40, 30.40 degrees
Element x y z (fractional)
1 Li 0.1358 0.1358 0.1358
2 Li 0.8642 0.8642 0.8642
3 Ni 0.2232 0.2232 0.7247
4 Ni 0.2232 0.7247 0.2232
5 Ni 0.2254 0.2254 0.2254
6 Ni 0.2753 0.7768 0.7768
7 Ni 0.7247 0.2232 0.2232
8 Ni 0.7746 0.7746 0.7746
9 Ni 0.7768 0.2753 0.7768
10 Ni 0.7768 0.7768 0.2753
11 Ge 0.3124 0.3124 0.3124
12 Ge 0.5000 0.5000 0.5000
13 Ge 0.6876 0.6876 0.6876

A geometry-optimized Zr2VIr structure. Source: Alexandria, functional PBE.

E_form ... -0.4535 eV per atom
Energy relative to the lowest polymorph listed for this composition ... 0 meV/atom
Energy ... -147.6 eV for the cell shown

Cell lengths 8.7266, 6.6302, 5.1288 Å; angles 90.00, 90.00, 90.00 degrees
Element x y z (fractional)
1 Zr 0.1892 0.1496 0.2500
2 Zr 0.1892 0.8504 0.7500
3 Zr 0.3108 0.3504 0.7500
4 Zr 0.3108 0.6496 0.2500
5 Zr 0.6892 0.3504 0.7500
6 Zr 0.6892 0.6496 0.2500
7 Zr 0.8108 0.1496 0.2500
8 Zr 0.8108 0.8504 0.7500
9 V 0.0000 0.5000 0.0000
10 V 0.0000 0.5000 0.5000
11 V 0.5000 0.0000 0.0000
12 V 0.5000 0.0000 0.5000
13 Ir 0.0000 0.1754 0.7500
14 Ir 0.0000 0.8246 0.2500
15 Ir 0.5000 0.3246 0.2500
16 Ir 0.5000 0.6754 0.7500

A geometry-optimized ScCdCl2 structure. Source: Alexandria, functional PBE.

Energy relative to the lowest polymorph listed for this composition ... 91 meV/atom
Raw formation energy ... -1.19 eV/atom
Energy ... -31.4 eV for the cell shown

Cell lengths 12.1841, 3.4397, 6.5002 Å; angles 90.00, 119.70, 90.00 degrees
Element x y z (fractional)
1 Sc 0.0000 0.0000 0.0000
2 Sc 0.5000 0.5000 0.0000
3 Cd 0.2401 0.5000 0.9993
4 Cd 0.7401 0.0000 0.9993
5 Cl 0.0631 0.5000 0.3170
6 Cl 0.3968 0.0000 0.6824
7 Cl 0.5631 0.0000 0.3170
8 Cl 0.8968 0.5000 0.6824